Density functional theory data (GGA-PBE) for a relaxed AlZnO2F crystal.

Summary:
E = -4.2718 eV per atom
total magnetization = 0.00 μB per formula unit
energy relative to the elements, uncorrected = -0.9110 eV per atom

a = 3.896 Å, b = 3.896 Å, c = 3.822 Å
α = 90.00°, β = 90.00°, γ = 90.00°
Fractional coordinates of all 5 atoms:
Zn  0.000  0.000  0.000
Al  0.500  0.500  0.500
O  0.000  0.500  0.000
O  0.500  0.000  0.000
F  0.000  0.000  0.500